No. 1
4
Lattice="0.000 3.961 3.961 3.961 0.000 3.961 3.961 3.961 0.000" Properties=species:S:1:pos:R:3 comment="AcPmCd2 PBE relaxed" m_tot_mub_per_atom=0.164 polymorph_energy_kj_per_mol_fu=7.0 rho_g_cm3=7.98 e_form_ev_per_atom=-0.279 space_group="No. 225" pbc="T T T"
Ac 0.000 0.000 0.000
Pm 3.961 3.961 3.961
Cd 1.980 1.980 1.980
Cd 5.941 5.941 5.941

No. 2
3
Lattice="-1.521 1.521 7.301 1.521 -1.521 7.301 1.521 1.521 -7.301" Properties=species:S:1:pos:R:3 comment="ZnAsCl PBE relaxed" m_tot_mub_per_atom=0.000 polymorph_energy_kj_per_mol_fu=124.3 rho_g_cm3=4.32 raw_formation_energy_mev_per_atom=-32 space_group="No. 107" pbc="T T T"
Zn 0.000 0.000 0.000
As 0.000 0.000 5.384
Cl 0.000 0.000 8.823

No. 3
6
Lattice="4.810 0.000 0.000 0.000 5.054 0.000 0.020 2.525 8.663" Properties=species:S:1:pos:R:3 comment="RbPdBr PBE relaxed" m_tot_mub_per_atom=0.000 polymorph_energy_kj_per_mol_fu=6.3 rho_g_cm3=4.29 raw_formation_energy_mev_per_atom=-699 space_group="No. 1" pbc="T T T"
Rb 0.000 0.000 0.000
Rb 0.014 5.056 4.542
Pd 2.403 2.526 0.956
Pd 4.808 2.529 2.372
Br 2.405 2.531 3.386
Br 2.421 5.047 7.134

No. 4
8
Lattice="-3.123 3.123 3.100 3.123 -3.123 3.100 3.123 3.123 -3.100" Properties=species:S:1:pos:R:3 comment="PdPt2N PBE relaxed" m_tot_mub_per_atom=0.000 rho_g_cm3=14.02 raw_formation_energy_mev_per_atom=578 space_group="No. 122" pbc="T T T"
Pd 0.000 0.000 0.000
Pd 0.000 3.123 1.550
Pt 1.562 -0.914 2.325
Pt 2.209 1.562 0.775
Pt 1.562 4.037 -0.775
Pt 0.914 1.562 3.875
N 3.123 0.000 1.550
N 0.000 0.000 3.100

No. 5
4
Lattice="-1.896 1.896 4.658 1.896 -1.896 4.658 1.896 1.896 -4.658" Properties=species:S:1:pos:R:3 comment="CaTc2Rh PBE relaxed" m_tot_mub_per_atom=0.000 polymorph_energy_kj_per_mol_fu=95.6 rho_g_cm3=8.40 e_form_ev_per_atom=0.418 space_group="No. 139" pbc="T T T"
Ca 0.000 0.000 0.000
Tc 1.896 0.000 2.329
Tc 0.000 1.896 2.329
Rh 0.000 0.000 4.658

No. 6
15
Lattice="6.955 0.000 0.000 -3.477 6.023 0.000 0.000 0.000 10.069" Properties=species:S:1:pos:R:3 comment="KTl3Ni2Cl9 PBE relaxed" m_tot_mub_per_atom=0.203 rho_g_cm3=4.29 raw_formation_energy_mev_per_atom=-865 space_group="No. 164" pbc="T T T"
K 0.000 0.000 0.000
Tl 0.000 0.000 5.035
Tl 0.000 4.015 2.499
Tl 3.477 2.008 7.570
Ni 0.000 4.015 6.547
Ni 3.477 2.008 3.522
Cl -1.739 3.012 5.035
Cl 0.000 2.105 7.773
Cl -1.654 4.970 7.773
Cl 1.823 1.053 2.296
Cl 3.477 0.000 5.035
Cl 1.739 3.012 5.035
Cl 1.654 4.970 7.773
Cl 5.132 1.053 2.296
Cl 3.477 3.918 2.296

No. 7
5
Lattice="5.170 0.000 0.000 0.000 5.170 0.000 0.000 0.000 5.022" Properties=species:S:1:pos:R:3 comment="SbTeS2Cl PBE relaxed" m_tot_mub_per_atom=0.000 polymorph_energy_kj_per_mol_fu=0.0 rho_g_cm3=4.32 raw_formation_energy_mev_per_atom=336 space_group="No. 123" pbc="T T T"
Sb 0.000 0.000 0.000
Te 2.585 2.585 2.511
S 0.000 2.585 0.000
S 2.585 0.000 0.000
Cl 0.000 0.000 2.511

No. 8
4
Lattice="2.204 -3.689 0.000 2.204 3.689 0.000 0.000 0.000 4.278" Properties=species:S:1:pos:R:3 comment="ThAsH2 PBE relaxed" m_tot_mub_per_atom=0.000 polymorph_energy_kj_per_mol_fu=128.4 rho_g_cm3=7.37 space_group="No. 65" pbc="T T T"
Th 0.000 0.000 0.000
As 2.204 0.000 2.139
H 1.102 1.845 0.000
H 1.102 -1.845 0.000